First-principles (PBE-GGA) data for an optimized crystal structure of Pr3PtPb, as listed in the Alexandria database.

energy of formation from the pure elements = -640 meV per atom
crystal system = monoclinic

Cell lengths 7.297, 4.811, 9.307 Å; angles 90.00, 102.56, 90.00 degrees
Space group P2_1/m (No. 11)
Unique sites:
Pr (0.047, 0.250, 0.331) [2 per cell]
Pr (0.264, 0.250, 0.950) [2 per cell]
Pr (0.427, 0.750, 0.611) [2 per cell]
Pt (0.209, 0.250, 0.636) [2 per cell]
Pb (0.290, 0.750, 0.187) [2 per cell]

First-principles (PBE-GGA) data for an optimized crystal structure of MgMoRh2, as listed in the Alexandria database.

energy of formation from the pure elements = -199 meV per atom
crystal system = monoclinic

Cell lengths 9.406, 2.815, 4.681 Å; angles 90.00, 100.80, 90.00 degrees
Space group Cm (No. 8)
Unique sites:
Mg (0.000, 0.000, 0.000) [2 per cell]
Mo (0.228, 0.000, 0.659) [2 per cell]
Rh (0.249, 0.500, 0.163) [2 per cell]
Rh (0.485, 0.000, 0.493) [2 per cell]

First-principles (PBE-GGA) data for an optimized crystal structure of Rb3PSe3, as listed in the Alexandria database.

crystal system = triclinic
raw formation energy = -776 meV/atom

Cell lengths 6.882, 6.900, 11.493 Å; angles 83.67, 75.99, 89.72 degrees
Space group P-1 (No. 2)
Unique sites:
Rb (0.017, 0.181, 0.266) [2 per cell]
Rb (0.283, 0.300, 0.495) [2 per cell]
Rb (0.410, 0.230, 0.866) [2 per cell]
P (0.073, 0.603, 0.038) [2 per cell]
Se (0.105, 0.691, 0.249) [2 per cell]
Se (0.254, 0.801, 0.420) [2 per cell]
Se (0.336, 0.721, 0.893) [2 per cell]

First-principles (PBE-GGA) data for an optimized crystal structure of Tm6BiC3, as listed in the Alexandria database.

energy of formation from the pure elements = -395 meV per atom
crystal system = monoclinic

Cell lengths 10.455, 3.575, 11.665 Å; angles 90.00, 101.34, 90.00 degrees
Space group P2_1/m (No. 11)
Unique sites:
Tm (0.030, 0.250, 0.126) [2 per cell]
Tm (0.115, 0.750, 0.454) [2 per cell]
Tm (0.162, 0.250, 0.741) [2 per cell]
Tm (0.275, 0.750, 0.016) [2 per cell]
Tm (0.308, 0.250, 0.303) [2 per cell]
Tm (0.417, 0.250, 0.580) [2 per cell]
Bi (0.452, 0.750, 0.823) [2 per cell]
C (0.020, 0.750, 0.651) [2 per cell]
C (0.128, 0.250, 0.941) [2 per cell]
C (0.354, 0.750, 0.440) [2 per cell]

First-principles (PBE-GGA) data for an optimized crystal structure of TaPt2Au, as listed in the Alexandria database.

energy of formation from the pure elements = -212 meV per atom
crystal system = monoclinic
relative energy among the computed polymorphs = 0.263 eV/atom

Cell lengths 4.940, 2.891, 5.064 Å; angles 90.00, 112.79, 90.00 degrees
Space group P2/m (No. 10)
Unique sites:
Ta (0.000, 0.000, 0.000) [1 per cell]
Pt (0.500, 0.000, 0.500) [1 per cell]
Pt (0.500, 0.500, 0.000) [1 per cell]
Au (0.000, 0.500, 0.500) [1 per cell]

First-principles (PBE-GGA) data for an optimized crystal structure of La2Pm3Te6, as listed in the Alexandria database.

crystal system = monoclinic
raw formation energy = -1527 meV/atom

Cell lengths 7.765, 13.404, 7.840 Å; angles 90.00, 109.36, 90.00 degrees
Space group C2/m (No. 12)
Unique sites:
La (0.000, 0.165, 0.000) [4 per cell]
Pm (0.000, 0.000, 0.500) [2 per cell]
Pm (0.000, 0.331, 0.500) [4 per cell]
Te (0.240, 0.500, 0.748) [4 per cell]
Te (0.245, 0.338, 0.250) [8 per cell]

First-principles (PBE-GGA) data for an optimized crystal structure of ZrIn3I, as listed in the Alexandria database.

crystal system = cubic
raw formation energy = 1079 meV/atom
relative energy among the computed polymorphs = 0.625 eV/atom

Cell lengths 5.904, 5.904, 5.904 Å; angles 90.00, 90.00, 90.00 degrees
Space group Pm-3m (No. 221)
Unique sites:
Zr (0.000, 0.000, 0.000) [1 per cell]
In (0.000, 0.500, 0.500) [3 per cell]
I (0.500, 0.500, 0.500) [1 per cell]

| no. | total moment (μB/atom) |
| --- | --- |
| 1 | 0.000 |
| 2 | 0.000 |
| 3 | 0.000 |
| 4 | 0.070 |
| 5 | 0.000 |
| 6 | 0.000 |
| 7 | 0.451 |